First-principles (PBE) data for crystalline NaTlCd2 at its relaxed geometry, as listed in Alexandria.

a b c (Å): 5.3930 5.3971 8.5726
angles (deg): 90.00 90.00 119.99
Fractional positions:
Na1 0.4296 0.8591 0.7500
Na2 0.5704 0.1409 0.2500
Tl1 0.9086 0.8176 0.2500
Tl2 0.0914 0.1824 0.7500
Cd1 0.2388 0.4777 0.4205
Cd2 0.7612 0.5223 0.5795
Cd3 0.2388 0.4777 0.0795
Cd4 0.7612 0.5223 0.9205

Values from the calculation:
E above lowest polymorph = 0.038 eV per atom
SG = Cmcm
total energy = -1.401 eV/atom
total magnetization = 0.000 μB/cell
V = 216 Å³/cell

---

First-principles (PBE) data for crystalline K3CrSb at its relaxed geometry, as listed in Alexandria.

a b c (Å): 6.7394 6.7394 6.7394
angles (deg): 90.00 90.00 90.00
Site moments in Bohr magnetons follow the coordinates.
Fractional positions:
Sb1 0.0000 0.0000 0.0000  0.11
K1 0.0000 0.5000 0.0000  0.00
K2 0.0000 0.0000 0.5000  0.00
K3 0.5000 0.0000 0.0000  0.01
Cr1 0.5000 0.5000 0.5000  4.50

Values from the calculation:
E above lowest polymorph = 0.000 eV per atom
SG = Pm-3m
total energy = -2.923 eV/atom
total magnetization = 6.000 μB/cell
V = 306 Å³/cell
ΔE_f (raw) = 0.4847 eV per atom

---

First-principles (PBE) data for crystalline Cd2SbSe at its relaxed geometry, as listed in Alexandria.

a b c (Å): 3.5949 3.5972 7.4853
angles (deg): 90.00 90.00 90.00
Fractional positions:
Cd1 0.0000 0.0000 0.9687
Cd2 0.0000 0.0000 0.5313
Sb1 0.5000 0.5000 0.2500
Se1 0.5000 0.5000 0.7500

Values from the calculation:
SG = P4/mmm
total energy = -2.318 eV/atom
total magnetization = 0.000 μB/cell
V = 97 Å³/cell
ΔE_f (raw) = 0.0411 eV per atom